Below is a geometry-optimized CeZn3Au2 structure, with properties calculated at the PBE level.

* total magnetization: 0.9 μB/f.u.

Unit cell a=16.498 b=4.291 c=7.604 alpha=90.00 beta=117.38 gamma=90.00
Space group C2/m (No. 12)
Asymmetric unit:
Ce: 0.138 0.000 0.055 x4
Zn: 0.048 0.000 0.404 x4
Zn: 0.104 0.500 0.686 x4
Zn: 0.192 0.500 0.467 x4
Au: 0.021 0.500 0.195 x4
Au: 0.210 0.000 0.730 x4

***

Below is a geometry-optimized Ce4ZnAu structure, with properties calculated at the PBE level.

* total magnetization: 1.0 μB/f.u.

Unit cell a=7.712 b=8.891 c=5.119 alpha=90.00 beta=131.54 gamma=90.00
Space group C2/m (No. 12)
Asymmetric unit:
Ce: 0.248 0.168 0.248 x8
Zn: 0.000 0.000 0.500 x2
Au: 0.000 0.500 0.000 x2

***

Below is a geometry-optimized Ce6Zn5Au structure, with properties calculated at the PBE level.

* total magnetization: 0.0 μB/f.u.

Unit cell a=5.471 b=6.254 c=8.290 alpha=68.00 beta=89.23 gamma=89.87
Space group P-1 (No. 2)
Asymmetric unit:
Ce: 0.006 0.235 0.493 x2
Ce: 0.333 0.397 0.173 x2
Ce: 0.349 0.938 0.158 x2
Zn: 0.157 0.334 0.831 x2
Zn: 0.159 0.829 0.844 x2
Zn: 0.500 0.000 0.500 x1
Au: 0.500 0.500 0.500 x1

***

Below is a geometry-optimized CeZn3Au3 structure, with properties calculated at the PBE level.

* total magnetization: 1.7 μB/f.u.
* E above lowest polymorph: 556 kJ/mol of formula units

Unit cell a=12.175 b=12.175 c=12.175 alpha=90.00 beta=90.00 gamma=90.00
Space group Fm-3m (No. 225)
Asymmetric unit:
Ce: 0.250 0.250 0.250 x8
Zn: 0.000 0.000 0.146 x24
Au: 0.000 0.000 0.339 x24

***

Below is a geometry-optimized CeZn5Au2 structure, with properties calculated at the PBE level.

* total magnetization: 0.9 μB/f.u.

Unit cell a=4.025 b=7.438 c=10.071 alpha=90.00 beta=90.00 gamma=90.00
Space group Immm (No. 71)
Asymmetric unit:
Ce: 0.000 0.000 0.000 x2
Zn: 0.000 0.185 0.367 x8
Zn: 0.000 0.500 0.000 x2
Au: 0.000 0.500 0.259 x4

***

Below is a geometry-optimized CeZn3Au9 structure, with properties calculated at the PBE level.

* total magnetization: 1.0 μB/f.u.

Unit cell a=5.384 b=13.492 c=7.028 alpha=90.00 beta=108.64 gamma=90.00
Space group C2/m (No. 12)
Asymmetric unit:
Ce: 0.000 0.000 0.000 x2
Zn: 0.000 0.500 0.500 x2
Zn: 0.250 0.250 0.000 x4
Au: 0.000 0.000 0.500 x2
Au: 0.081 0.392 0.213 x8
Au: 0.140 0.177 0.332 x8

***

Values of energy of formation, in order: -0.3766, -0.2284, -0.2643, 0.5038, -0.3172, -0.3029, all in eV per atom.